Entry 1:
Compound: Er6NiSb2
Source: Alexandria
Functional: PBE
Structure: relaxed

Properties
**Uncorrected formation energy**: -0.555 eV/atom

```
data_Er6NiSb2
_chemical_formula_sum 'Er12 Ni2 Sb4'
_cell_length_a 6.2932
_cell_length_b 7.8623
_cell_length_c 11.6279
_cell_angle_alpha 90.00
_cell_angle_beta 121.76
_cell_angle_gamma 90.00
_symmetry_space_group_name_H-M 'P 1 21/c 1'
_symmetry_Int_Tables_number 14
_symmetry_space_group_name_Hall '-P 2ybc'
loop_
_atom_site_label
_atom_site_type_symbol
_atom_site_fract_x
_atom_site_fract_y
_atom_site_fract_z
Er1 Er 0.0927 0.1864 0.4579
Er2 Er 0.3252 0.6807 0.4573
Er3 Er 0.3739 0.0245 0.2475
Ni1 Ni 0.5000 0.0000 0.5000
Sb1 Sb 0.1524 0.1151 0.7483
```

***

Entry 2:
Compound: Na3Ho3PaTe8
Source: Alexandria
Functional: PBE
Structure: relaxed

Properties
**Uncorrected formation energy**: -1.199 eV/atom

```
data_Na3Ho3PaTe8
_chemical_formula_sum 'Na9 Ho9 Pa3 Te24'
_cell_length_a 8.8088
_cell_length_b 8.8088
_cell_length_c 22.8034
_cell_angle_alpha 90.00
_cell_angle_beta 90.00
_cell_angle_gamma 120.00
_symmetry_space_group_name_H-M 'R -3 m'
_symmetry_Int_Tables_number 166
_symmetry_space_group_name_Hall '-R 3 2"'
loop_
_atom_site_label
_atom_site_type_symbol
_atom_site_fract_x
_atom_site_fract_y
_atom_site_fract_z
Na1 Na 0.0000 0.5000 0.0000
Ho1 Ho 0.0000 0.5000 0.5000
Pa1 Pa 0.0000 0.0000 0.5000
Te1 Te 0.0000 0.0000 0.2437
Te2 Te 0.0031 0.5016 0.7564
```

***

Entry 3:
Compound: Ag5Au4S2
Source: Alexandria
Functional: PBE
Structure: relaxed

Properties
**Uncorrected formation energy**: 0.106 eV/atom

```
data_Ag5Au4S2
_chemical_formula_sum 'Ag10 Au8 S4'
_cell_length_a 18.3754
_cell_length_b 8.1482
_cell_length_c 2.8507
_cell_angle_alpha 90.00
_cell_angle_beta 96.50
_cell_angle_gamma 90.00
_symmetry_space_group_name_H-M 'C 1 2/m 1'
_symmetry_Int_Tables_number 12
_symmetry_space_group_name_Hall '-C 2y'
loop_
_atom_site_label
_atom_site_type_symbol
_atom_site_fract_x
_atom_site_fract_y
_atom_site_fract_z
Ag1 Ag 0.0000 0.0000 0.0000
Ag2 Ag 0.1384 0.1851 0.6462
Au1 Au 0.0000 0.3171 0.5000
Au2 Au 0.1169 0.5000 0.1195
S1 S 0.2454 0.0000 0.7868
```

***

Entry 4:
Compound: ReHF2
Source: Alexandria
Functional: PBE
Structure: relaxed

Properties
**Offset from the most stable computed form**: 0 meV/atom

```
data_ReHF2
_chemical_formula_sum 'Re3 H3 F6'
_cell_length_a 2.6685
_cell_length_b 2.6685
_cell_length_c 19.5252
_cell_angle_alpha 90.00
_cell_angle_beta 90.00
_cell_angle_gamma 120.00
_symmetry_space_group_name_H-M 'R -3 m'
_symmetry_Int_Tables_number 166
_symmetry_space_group_name_Hall '-R 3 2"'
loop_
_atom_site_label
_atom_site_type_symbol
_atom_site_fract_x
_atom_site_fract_y
_atom_site_fract_z
Re1 Re 0.0000 0.0000 0.0000
H1 H 0.0000 0.0000 0.5000
F1 F 0.0000 0.0000 0.4411
```

***

Entry 5:
Compound: Sc2MnCr
Source: Alexandria
Functional: PBE
Structure: relaxed

Properties
**Offset from the most stable computed form**: 128 meV/atom
**Energy relative to the elements**: 0.202 eV/atom

```
data_Sc2MnCr
_chemical_formula_sum 'Sc2 Mn1 Cr1'
_cell_length_a 3.0279
_cell_length_b 3.7598
_cell_length_c 6.2994
_cell_angle_alpha 90.00
_cell_angle_beta 103.36
_cell_angle_gamma 90.00
_symmetry_space_group_name_H-M 'P 1 m 1'
_symmetry_Int_Tables_number 6
_symmetry_space_group_name_Hall 'P -2y'
loop_
_atom_site_label
_atom_site_type_symbol
_atom_site_fract_x
_atom_site_fract_y
_atom_site_fract_z
Sc1 Sc 0.0000 0.0000 0.0000
Sc2 Sc 0.3586 0.5000 0.6337
Mn1 Mn 0.8332 0.0000 0.3954
Cr1 Cr 0.5431 0.5000 0.2411
```

***

Entry 6:
Compound: BaLa2ZrSe
Source: Alexandria
Functional: PBE
Structure: relaxed

Properties
**Uncorrected formation energy**: 0.019 eV/atom

```
data_BaLa2ZrSe
_chemical_formula_sum 'Ba1 La2 Zr1 Se1'
_cell_length_a 5.8618
_cell_length_b 5.8618
_cell_length_c 5.3364
_cell_angle_alpha 90.00
_cell_angle_beta 90.00
_cell_angle_gamma 90.00
_symmetry_space_group_name_H-M 'P 4/m m m'
_symmetry_Int_Tables_number 123
_symmetry_space_group_name_Hall '-P 4 2'
loop_
_atom_site_label
_atom_site_type_symbol
_atom_site_fract_x
_atom_site_fract_y
_atom_site_fract_z
Ba1 Ba 0.0000 0.0000 0.0000
La1 La 0.0000 0.5000 0.5000
Zr1 Zr 0.5000 0.5000 0.5000
Se1 Se 0.5000 0.5000 0.0000
```

***

Entry 7:
Compound: AgHgGeSb
Source: Alexandria
Functional: PBE
Structure: relaxed

Properties
**Uncorrected formation energy**: 0.218 eV/atom

```
data_AgHgGeSb
_chemical_formula_sum 'Ag4 Hg4 Ge4 Sb4'
_cell_length_a 7.1555
_cell_length_b 7.1555
_cell_length_c 7.1555
_cell_angle_alpha 90.00
_cell_angle_beta 90.00
_cell_angle_gamma 90.00
_symmetry_space_group_name_H-M 'F -4 3 m'
_symmetry_Int_Tables_number 216
_symmetry_space_group_name_Hall 'F -4 2 3'
loop_
_atom_site_label
_atom_site_type_symbol
_atom_site_fract_x
_atom_site_fract_y
_atom_site_fract_z
Ag1 Ag 0.0000 0.0000 0.0000
Hg1 Hg 0.2500 0.2500 0.7500
Ge1 Ge 0.0000 0.0000 0.5000
Sb1 Sb 0.2500 0.2500 0.2500
```

***

Entry 8:
Compound: Sr2SbRu
Source: Alexandria
Functional: PBE
Structure: relaxed

Properties
**Uncorrected formation energy**: -0.294 eV/atom

```
data_Sr2SbRu
_chemical_formula_sum 'Sr4 Sb2 Ru2'
_cell_length_a 7.8617
_cell_length_b 4.5403
_cell_length_c 8.5902
_cell_angle_alpha 90.00
_cell_angle_beta 107.66
_cell_angle_gamma 90.00
_symmetry_space_group_name_H-M 'C 1 m 1'
_symmetry_Int_Tables_number 8
_symmetry_space_group_name_Hall 'C -2y'
loop_
_atom_site_label
_atom_site_type_symbol
_atom_site_fract_x
_atom_site_fract_y
_atom_site_fract_z
Sr1 Sr 0.0000 0.0000 0.0000
Sr2 Sr 0.1692 0.0000 0.5106
Sb1 Sb 0.2512 0.5000 0.2554
Ru1 Ru 0.4175 0.0000 0.2545
```

***

Entry 9:
Compound: TlZn2Re
Source: Alexandria
Functional: PBE
Structure: relaxed

Properties
**Offset from the most stable computed form**: 163 meV/atom
**Energy relative to the elements**: 0.636 eV/atom

```
data_TlZn2Re
_chemical_formula_sum 'Tl2 Zn4 Re2'
_cell_length_a 3.9245
_cell_length_b 3.9245
_cell_length_c 8.8042
_cell_angle_alpha 90.00
_cell_angle_beta 90.00
_cell_angle_gamma 90.00
_symmetry_space_group_name_H-M 'I 4/m m m'
_symmetry_Int_Tables_number 139
_symmetry_space_group_name_Hall '-I 4 2'
loop_
_atom_site_label
_atom_site_type_symbol
_atom_site_fract_x
_atom_site_fract_y
_atom_site_fract_z
Tl1 Tl 0.0000 0.0000 0.0000
Zn1 Zn 0.0000 0.5000 0.2500
Re1 Re 0.0000 0.0000 0.5000
```

***

Entry 10:
Compound: NdYBeCu
Source: Alexandria
Functional: PBE
Structure: relaxed

Properties
**Energy relative to the elements**: -0.007 eV/atom

```
data_NdYBeCu
_chemical_formula_sum 'Nd4 Y4 Be4 Cu4'
_cell_length_a 7.0325
_cell_length_b 7.0325
_cell_length_c 7.0325
_cell_angle_alpha 90.00
_cell_angle_beta 90.00
_cell_angle_gamma 90.00
_symmetry_space_group_name_H-M 'F -4 3 m'
_symmetry_Int_Tables_number 216
_symmetry_space_group_name_Hall 'F -4 2 3'
loop_
_atom_site_label
_atom_site_type_symbol
_atom_site_fract_x
_atom_site_fract_y
_atom_site_fract_z
Nd1 Nd 0.0000 0.0000 0.0000
Y1 Y 0.0000 0.0000 0.5000
Be1 Be 0.2500 0.2500 0.7500
Cu1 Cu 0.2500 0.2500 0.2500
```

***

Entry 11:
Compound: GdTiFe11C
Source: Alexandria
Functional: PBE
Structure: relaxed

Properties
**Energy relative to the elements**: -0.072 eV/atom

```
data_GdTiFe11C
_chemical_formula_sum 'Gd2 Ti2 Fe22 C2'
_cell_length_a 4.8707
_cell_length_b 8.5564
_cell_length_c 8.4900
_cell_angle_alpha 90.00
_cell_angle_beta 90.00
_cell_angle_gamma 90.00
_symmetry_space_group_name_H-M 'I m m 2'
_symmetry_Int_Tables_number 44
_symmetry_space_group_name_Hall 'I 2 -2'
loop_
_atom_site_label
_atom_site_type_symbol
_atom_site_fract_x
_atom_site_fract_y
_atom_site_fract_z
Gd1 Gd 0.0000 0.0000 0.0000
Ti1 Ti 0.0000 0.0000 0.3739
Fe1 Fe 0.0000 0.0000 0.6504
Fe2 Fe 0.0000 0.2799 0.5094
Fe3 Fe 0.0000 0.3585 0.0073
Fe4 Fe 0.0000 0.5000 0.2821
Fe5 Fe 0.0000 0.5000 0.7303
Fe6 Fe 0.2495 0.2486 0.7565
C1 C 0.0000 0.5000 0.5058
```

***

Entry 12:
Compound: PtBr3N
Source: Alexandria
Functional: PBE
Structure: relaxed

Properties
**Uncorrected formation energy**: 1.499 eV/atom
**Offset from the most stable computed form**: 1123 meV/atom

```
data_PtBr3N
_chemical_formula_sum 'Pt1 Br3 N1'
_cell_length_a 5.0815
_cell_length_b 5.0815
_cell_length_c 5.0815
_cell_angle_alpha 90.00
_cell_angle_beta 90.00
_cell_angle_gamma 90.00
_symmetry_space_group_name_H-M 'P m -3 m'
_symmetry_Int_Tables_number 221
_symmetry_space_group_name_Hall '-P 4 2 3'
loop_
_atom_site_label
_atom_site_type_symbol
_atom_site_fract_x
_atom_site_fract_y
_atom_site_fract_z
Pt1 Pt 0.0000 0.0000 0.0000
Br1 Br 0.0000 0.0000 0.5000
N1 N 0.5000 0.5000 0.5000
```

***

Ρ / kg/m³: 8865 5902 10896 9318 4685 5301 9117 4525 12770 5838 7804 5680